Sm4Y3Ho4 | PBE | relaxed

E: -4.9982 eV per atom
Energy above the most stable polymorph in this dataset: 127 meV/atom
Calculated formation energy: 0.145 eV/atom
SG: Amm2, No. 38
Total magnetization: 0.0 μB/cell

a b c (Å): 5.6798 6.6762 10.5568
angles (deg): 90.00 90.00 115.17
With the nearest neighbours (Å) after each atom.
Fractional coordinates of all 11 atoms:
Sm: 0.7541 0.5081 0.7925  4 Ho 3.29-3.52, 2 Sm 3.31-3.48, 4 Y 3.52-3.59
Sm: 0.9598 0.9196 0.0000  2 Ho 3.05, 2 Sm 3.31
Sm: 0.8860 0.7721 0.5000  3 Ho 3.26-3.36, 2 Sm 3.48, 4 Y 3.60
Sm: 0.7541 0.5081 0.2075  4 Ho 3.29-3.52, 2 Sm 3.31-3.48, 4 Y 3.52-3.59
Y: 0.4091 0.8183 0.2923  5 Ho 3.33-3.70, 4 Sm 3.52-3.60, 1 Y 3.61
Y: 0.4091 0.8183 0.7077  5 Ho 3.33-3.70, 4 Sm 3.52-3.60, 1 Y 3.61
Y: 0.2536 0.5073 0.0000  7 Sm 3.55-3.78, 5 Ho 3.59-3.75, 2 Y 3.61
Ho: 0.1029 0.2058 0.3003  4 Sm 3.36-3.61, 2 Ho 3.54, 4 Y 3.66-3.70
Ho: 0.1029 0.2058 0.6997  4 Sm 3.36-3.61, 2 Ho 3.54, 4 Y 3.66-3.70
Ho: 0.6161 0.2321 0.5000  3 Sm 3.26-3.51, 2 Y 3.33, 4 Ho 3.54
Ho: 0.5508 0.1015 0.0000  4 Sm 3.05-3.29

***

Mg2MnAs | PBE | relaxed

E: -4.1235 eV per atom
Calculated formation energy: 0.129 eV/atom
SG: R-3m, No. 166
Total magnetization: 3.6 μB/cell

a b c (Å): 9.2993 9.2993 9.2993
angles (deg): 19.07 19.07 19.07
With the nearest neighbours (Å) after each atom.
Fractional coordinates of all 4 atoms:
As: 0.7500 0.7500 0.7500  6 Mg 2.92, 6 As 3.08
Mg: 0.5011 0.5011 0.5011  3 Mn 2.87, 3 As 2.92, 6 Mg 3.08
Mg: 0.9989 0.9989 0.9989  3 Mn 2.87, 3 As 2.92, 6 Mg 3.08
Mn: 0.2500 0.2500 0.2500  6 Mg 2.87, 6 Mn 3.08

***

Ce3Pm4YSe8 | PBE | relaxed

E: -6.2728 eV per atom
SG: R-3m, No. 166
Total magnetization: 2.8 μB/cell
Raw formation energy: -1.826 eV/atom

a b c (Å): 8.3730 8.3677 8.3730
angles (deg): 120.02 120.00 90.00
With the nearest neighbours (Å) after each atom.
Fractional coordinates of all 16 atoms:
Se: 0.2467 0.7467 0.4933  1 Y 2.92, 3 Pm 2.96-3.00, 2 Ce 2.96
Se: 0.2466 0.2533 0.9999  1 Y 2.92, 3 Pm 2.96-3.00, 2 Ce 2.96
Se: 0.7533 0.2533 0.5067  1 Y 2.92, 3 Pm 2.96-3.00, 2 Ce 2.96
Se: 0.2498 0.2493 0.4995  3 Pm 2.96, 3 Ce 2.96
Se: 0.7534 0.7467 0.0001  1 Y 2.92, 3 Pm 2.96-3.00, 2 Ce 2.96
Se: 0.2466 0.7467 0.0001  1 Y 2.92, 3 Pm 2.96-3.00, 2 Ce 2.96
Se: 0.7534 0.2533 0.9999  1 Y 2.92, 3 Pm 2.96-3.00, 2 Ce 2.96
Se: 0.7502 0.7507 0.5005  3 Pm 2.96, 3 Ce 2.96
Ce: 0.5000 0.5000 0.0000  6 Se 2.96
Ce: 0.0000 0.5000 0.5000  6 Se 2.96
Ce: 0.5000 0.5000 0.5000  6 Se 2.96
Pm: 0.0000 0.0000 0.5000  6 Se 2.96
Pm: 0.5000 0.0000 0.5000  6 Se 2.96
Pm: 0.5000 0.0000 0.0000  6 Se 3.00
Pm: 0.0000 0.0000 0.0000  6 Se 2.96
Y: 0.0000 0.5000 0.0000  6 Se 2.92

***

Sr2HgAs4Pd3 | PBE | relaxed

E: -4.4507 eV per atom
Calculated formation energy: -0.667 eV/atom
SG: P-4m2, No. 115
Total magnetization: 0.0 μB/cell

a b c (Å): 4.5365 4.5365 10.4733
angles (deg): 90.00 90.00 90.00
With the nearest neighbours (Å) after each atom.
Fractional coordinates of all 10 atoms:
As: 0.0000 0.5000 0.3525  3 Pd 2.50-2.74, 2 Hg 2.74
As: 0.0000 0.0000 0.0000  4 Pd 2.56
As: 0.5000 0.5000 0.0000  4 Pd 2.56
As: 0.5000 0.0000 0.6475  3 Pd 2.50-2.74, 2 Hg 2.74
Pd: 0.0000 0.0000 0.5000  4 As 2.74
Pd: 0.0000 0.5000 0.1138  5 As 2.50-2.56
Pd: 0.5000 0.0000 0.8862  5 As 2.50-2.56
Sr: 0.5000 0.0000 0.2400  8 As 3.39-3.42, 7 Pd 3.47-3.70, 2 Hg 3.54
Sr: 0.0000 0.5000 0.7600  8 As 3.39-3.42, 7 Pd 3.47-3.70, 2 Hg 3.54
Hg: 0.5000 0.5000 0.5000  4 As 2.74

***

Na3MgPb | PBE | relaxed

E: -1.7368 eV per atom
Energy above the most stable polymorph in this dataset: 91 meV/atom
Calculated formation energy: 0.115 eV/atom
SG: P-1, No. 2
Total magnetization: 0.0 μB/cell

a b c (Å): 5.5982 6.9942 6.6671
angles (deg): 118.48 90.12 64.47
With the nearest neighbours (Å) after each atom.
Fractional coordinates of all 5 atoms:
Na: 0.0000 0.0000 0.5000  2 Pb 3.33, 4 Na 3.50
Na: 0.0000 0.5000 0.0000  4 Na 3.33-3.50, 2 Mg 3.41, 2 Pb 3.50
Na: 0.0000 0.5000 0.5000  4 Na 3.33-3.50, 2 Mg 3.41, 2 Pb 3.50
Pb: 0.0000 0.0000 0.0000  2 Mg 2.80
Mg: 0.5000 0.0000 0.0000  2 Pb 2.80

***

FeCo2SnN | PBE | relaxed

E: -7.0246 eV per atom
SG: P4/mmm, No. 123
Total magnetization: 3.1 μB/cell
Raw formation energy: -0.024 eV/atom

a b c (Å): 3.8545 3.8545 3.8869
angles (deg): 90.00 90.00 90.00
With the nearest neighbours (Å) after each atom.
Fractional coordinates of all 5 atoms:
Sn: 0.5000 0.5000 0.5000  4 Fe 2.73, 8 Co 2.74
Co: 0.5000 0.0000 0.0000  2 N 1.93
Co: 0.0000 0.5000 0.0000  2 N 1.93
N: 0.0000 0.0000 0.0000  4 Co 1.93, 2 Fe 1.94
Fe: 0.0000 0.0000 0.5000  2 N 1.94